CsS | PBE-GGA | optimized geometry

Cell and atoms, written as extended XYZ:
```
4
Lattice="2.627 -5.732 0.000 2.627 5.732 0.000 0.000 0.000 4.835" Properties=species:S:1:pos:R:3 pbc="T T T"
Cs 2.627 4.049 3.626
Cs 2.627 -4.049 1.209
S 2.627 0.347 3.626
S 2.627 -0.347 1.209
```

Output
Formation energy without anion corrections: -18.2 kcal/mol of atoms
Crystal system: orthorhombic
Symmetry: Cmcm, No. 63
DFT total energy: -13.1 eV per cell
V: 146 Å³ per cell